This record from Alexandria describes crystalline Ho4PdRh2 at its relaxed geometry. The functional is GGA-PBE.

Cell lengths 7.4494, 7.4494, 7.4473 Å; angles 109.32, 109.32, 109.78 degrees
Sites, in units of the cell vectors:
Ho (0.4963, 0.7449, 0.8769)
Ho (0.9952, 0.2465, 0.3773)
Ho (0.8695, 0.6179, 0.6228)
Ho (0.3807, 0.5035, 0.2487)
Ho (0.2550, 0.1321, 0.7516)
Ho (0.3820, 0.0051, 0.2514)
Ho (0.8677, 0.6193, 0.1228)
Ho (0.7537, 0.1306, 0.7484)
Rh (0.4970, 0.3750, 0.6219)
Rh (0.6251, 0.2459, 0.1210)
Rh (0.7531, 0.8749, 0.3780)
Rh (0.1251, 0.5041, 0.8792)
Pd (0.9996, 0.9997, 0.9999)
Pd (0.2501, 0.7503, 0.4999)

Computed properties:
Polymorph energy (0 for the lowest one) in eV per atom: 0.0000
Crystal system: orthorhombic
Energy of formation from the pure elements in kJ/mol of atoms: -77
SG: I2_12_12_1, No. 24

***

This record from Alexandria describes crystalline K4AsBr6 at its relaxed geometry. The functional is GGA-PBE.

Cell lengths 9.1103, 9.1103, 9.1104 Å; angles 90.00, 90.00, 90.00 degrees
Site moments in Bohr magnetons follow the coordinates.
Sites, in units of the cell vectors:
Br (0.5000, 0.5000, 0.7092)  0.00
Br (0.3907, 0.8168, 0.0000)  0.04
Br (0.0000, 0.0000, 0.7908)  0.00
Br (0.8168, 0.6093, 0.0000)  0.04
Br (0.0000, 0.0000, 0.2092)  0.00
Br (0.3168, 0.8907, 0.5000)  0.04
Br (0.8907, 0.6832, 0.5000)  0.04
Br (0.5000, 0.5000, 0.2908)  0.00
Br (0.1832, 0.3907, 0.0000)  0.04
Br (0.1093, 0.3168, 0.5000)  0.04
Br (0.6832, 0.1093, 0.5000)  0.04
Br (0.6093, 0.1832, 0.0000)  0.04
As (0.0000, 0.0000, 0.5000)  0.40
As (0.5000, 0.5000, 0.0000)  0.40
K (0.6655, 0.8345, 0.2500)  0.00
K (0.3345, 0.1655, 0.2500)  0.00
K (0.8345, 0.3345, 0.7500)  0.00
K (0.1655, 0.6655, 0.2500)  0.00
K (0.1655, 0.6655, 0.7500)  0.00
K (0.8345, 0.3345, 0.2500)  0.00
K (0.6655, 0.8345, 0.7500)  0.00
K (0.3345, 0.1655, 0.7500)  0.00

Computed properties:
Crystal system: tetragonal
SG: P4/mnc, No. 128

***

This record from Alexandria describes crystalline Y3Zn4Ag4 at its relaxed geometry. The functional is GGA-PBE.

Cell lengths 3.5828, 4.5401, 14.2740 Å; angles 80.76, 82.77, 89.96 degrees
Sites, in units of the cell vectors:
Ag (0.4064, 0.9065, 0.1869)
Ag (0.7387, 0.7386, 0.5227)
Ag (0.2613, 0.2614, 0.4773)
Ag (0.5936, 0.0935, 0.8131)
Zn (0.6878, 0.1872, 0.6252)
Zn (0.5447, 0.5452, 0.9094)
Zn (0.4553, 0.4549, 0.0906)
Zn (0.3122, 0.8129, 0.3748)
Y (0.8586, 0.3592, 0.2815)
Y (0.0000, 0.0000, 0.0000)
Y (0.1414, 0.6409, 0.7185)

Computed properties:
Crystal system: triclinic
Energy of formation from the pure elements in kJ/mol of atoms: -27
SG: P-1, No. 2

***

This record from Alexandria describes crystalline Ce3NpO7 at its relaxed geometry. The functional is GGA-PBE.

Cell lengths 6.7561, 6.7561, 7.8165 Å; angles 90.00, 90.00, 109.64 degrees
Site moments in Bohr magnetons follow the coordinates.
Sites, in units of the cell vectors:
O (0.0949, 0.3451, 0.5255)  -0.05
O (0.9027, 0.0973, 0.2500)  -0.06
O (0.6329, 0.3671, 0.2500)  -0.03
O (0.6328, 0.3672, 0.7500)  -0.03
O (0.3447, 0.0944, 0.0260)  -0.05
O (0.3671, 0.6329, 0.7500)  -0.03
O (0.0973, 0.9027, 0.7500)  -0.06
O (0.6549, 0.9051, 0.9745)  -0.05
O (0.0944, 0.3447, 0.9740)  -0.05
O (0.9056, 0.6553, 0.4740)  -0.05
O (0.3451, 0.0949, 0.4745)  -0.05
O (0.9051, 0.6549, 0.0255)  -0.05
O (0.6553, 0.9056, 0.5260)  -0.05
O (0.3672, 0.6328, 0.2500)  -0.03
Ce (0.9962, 0.4735, 0.2499)  0.63
Ce (0.0038, 0.5265, 0.7499)  0.63
Ce (0.4998, 0.4998, 0.5000)  0.75
Ce (0.5265, 0.0038, 0.2501)  0.63
Ce (0.5002, 0.5002, 0.0000)  0.75
Ce (0.4735, 0.9962, 0.7501)  0.63
Np (0.0001, 0.0001, 0.5000)  3.01
Np (0.9999, 0.9999, 0.0000)  3.01

Computed properties:
Crystal system: orthorhombic
SG: Cmcm, No. 63

***

Number 1: electronic total energy -6.25 eV per atom. Number 2: electronic total energy -2.97 eV per atom. Number 3: electronic total energy -3.55 eV per atom. Number 4: electronic total energy -9.29 eV per atom.